# Mg12ZnPd6, optimized geometry, DFT PBE
# ΔE_f   -463 meV/atom
# Total magnetic moment   0.00 Bohr magnetons per cell
data_Mg12ZnPd6
_space_group_name_H-M_alt 'R -3'
_space_group_IT_number 148
_space_group_name_Hall '-R 3'
_cell_length_a 9.8655
_cell_length_b 9.8655
_cell_length_c 12.3448
_cell_angle_alpha 90.00
_cell_angle_beta 90.00
_cell_angle_gamma 120.00
loop_
_atom_site_label
_atom_site_type_symbol
_atom_site_fract_x
_atom_site_fract_y
_atom_site_fract_z
Mg1 Mg 0.0276 0.1915 0.3269
Mg2 Mg 0.0535 0.8361 0.9102
Zn1 Zn 0.0000 0.0000 0.5000
Pd1 Pd 0.0242 0.4281 0.2113